[1]
4
Lattice="-2.2252 2.2252 4.0195 2.2252 -2.2252 4.0195 2.2252 2.2252 -4.0195" Properties=species:S:1:pos:R:3 comment="Y2ReSi | Alexandria | PBE | relaxed" space_group=I-4m2 crystal_system=tetragonal raw_formation_energy_ev_per_fu=0.43 pbc="T T T"
Y 0.0000 0.0000 0.0000
Y 0.0000 2.2252 2.0098
Re 2.2252 0.0000 2.0098
Si 0.0000 0.0000 4.0195


[2]
10
Lattice="5.3213 0.0000 0.0000 0.0000 5.2982 0.0000 -2.6107 0.0000 6.0654" Properties=species:S:1:pos:R:3 comment="YRe3Si | Alexandria | PBE | relaxed" space_group=P2_1/m crystal_system=monoclinic raw_formation_energy_ev_per_fu=-0.78 pbc="T T T"
Y 0.6557 1.3245 0.8001
Y 2.0548 3.9736 5.2652
Re -0.6583 0.0556 4.1076
Re -0.6583 2.5935 4.1076
Re 0.7958 3.9736 2.4011
Re 1.9148 1.3245 3.6643
Re 3.3688 2.7046 1.9577
Re 3.3688 5.2426 1.9577
Si 1.9356 3.9736 0.1837
Si 0.7749 1.3245 5.8817


What is the formula in the second record? YRe3Si